Material: CsDyVF6
Method: DFT, PBE+U
State: relaxed

The value obtained for the calculated volume is 20.1 A^3/atom. The spin magnetization comes out at 3.00 μB per formula unit. The total DFT energy (no corrections) comes out at -6.04 eV/atom.

a = 7.877 Å, b = 8.205 Å, c = 11.216 Å
α = 90.00°, β = 90.00°, γ = 90.00°
Space group Imma (No. 74)
One atom of each set of equivalent atoms:
Cs 0.000 0.250 0.079
Dy 0.000 0.000 0.500
V 0.250 0.250 0.750
F 0.000 0.250 0.425
F 0.000 0.250 0.813
F 0.205 0.065 0.621